Model A:
Density functional theory data (PBE) for Tl2SnPb5 after structural relaxation.

abc: 5.8416 7.2752 7.2752
angles: 90.00 90.00 90.00
With the nearest neighbours (Å) after each atom.
Atoms (fractional coordinates):
Tl (0.5000, 0.5000, 0.0000)  10 Pb 3.64-3.91
Tl (0.5000, 0.0000, 0.5000)  10 Pb 3.64-3.91
Pb (0.0000, 0.2879, 0.7121)  1 Sn 2.96, 2 Pb 3.09
Pb (0.0000, 0.7121, 0.7121)  1 Sn 2.96, 2 Pb 3.09
Pb (0.0000, 0.2879, 0.2879)  1 Sn 2.96, 2 Pb 3.09
Pb (0.5000, 0.0000, 0.0000)  2 Sn 2.92
Pb (0.0000, 0.7121, 0.2879)  1 Sn 2.96, 2 Pb 3.09
Sn (0.0000, 0.0000, 0.0000)  6 Pb 2.92-2.96


Model B:
Density functional theory data (PBE) for Tl2SnPb5 after structural relaxation.

abc: 6.9032 6.9033 6.9028
angles: 105.17 105.17 118.48
With the nearest neighbours (Å) after each atom.
Atoms (fractional coordinates):
Pb (0.2776, 0.2773, 0.0000)  8 Pb 3.45, 2 Sn 3.53
Pb (0.2783, 0.7776, 0.0000)  2 Sn 3.45, 4 Pb 3.45-3.53, 4 Tl 3.45
Pb (0.2781, 0.2783, 0.5005)  2 Sn 3.45, 4 Pb 3.45-3.53, 4 Tl 3.45
Pb (0.7776, 0.7778, 0.4995)  2 Sn 3.45, 4 Pb 3.45-3.53, 4 Tl 3.45
Pb (0.7779, 0.2781, 0.0000)  2 Sn 3.45, 4 Pb 3.45-3.53, 4 Tl 3.45
Tl (0.7778, 0.2780, 0.5000)  8 Pb 3.45, 2 Tl 3.53
Tl (0.2778, 0.7780, 0.5000)  8 Pb 3.45, 2 Tl 3.53
Sn (0.7781, 0.7779, 0.0000)  10 Pb 3.45-3.53


Energetically preferred structure: model B | next structure: +244 meV per atom


Model A:
Density functional theory data (PBE) for Tl3SnPb4 after structural relaxation.

abc: 7.3695 7.3695 7.3695
angles: 79.27 126.40 126.35
With the nearest neighbours (Å) after each atom.
Atoms (fractional coordinates):
Pb (0.5702, 0.2528, 0.3174)  4 Pb 3.29-3.49, 1 Sn 3.43, 3 Tl 3.57-3.68
Pb (0.0767, 0.7253, 0.8020)  1 Sn 3.19, 5 Tl 3.33-3.48, 2 Pb 3.49
Pb (0.0767, 0.2747, 0.3514)  1 Sn 3.19, 5 Tl 3.33-3.48, 2 Pb 3.49
Pb (0.0645, 0.7472, 0.3174)  4 Pb 3.29-3.49, 1 Sn 3.43, 3 Tl 3.57-3.68
Tl (0.8433, 0.0000, 0.8433)  2 Tl 3.29, 2 Sn 3.33, 4 Pb 3.48-3.57
Tl (0.5776, 0.7550, 0.3325)  1 Sn 3.22, 1 Tl 3.29, 4 Pb 3.33-3.35
Tl (0.5776, 0.2450, 0.8226)  1 Sn 3.22, 1 Tl 3.29, 4 Pb 3.33-3.35
Sn (0.3644, 0.5000, 0.8644)  4 Pb 3.19-3.43, 4 Tl 3.22-3.33


Model B:
Density functional theory data (PBE) for Tl3SnPb4 after structural relaxation.

abc: 7.1566 9.5151 7.2059
angles: 90.00 90.00 90.00
With the nearest neighbours (Å) after each atom.
Atoms (fractional coordinates):
Pb (0.5000, 0.8145, 0.9999)  6 Tl 3.49-3.58, 6 Pb 3.50-3.61
Pb (0.7501, 0.0641, 0.2559)  6 Pb 3.46-3.58, 2 Sn 3.46, 4 Tl 3.50-3.66
Pb (0.2499, 0.0641, 0.2559)  6 Pb 3.46-3.58, 2 Sn 3.46, 4 Tl 3.50-3.66
Pb (0.0000, 0.3145, 0.4997)  6 Pb 3.46-3.61, 4 Tl 3.47, 2 Sn 3.58
Pb (0.5000, 0.8145, 0.5003)  6 Pb 3.46-3.61, 4 Tl 3.47, 2 Sn 3.58
Pb (0.7499, 0.5641, 0.7441)  6 Pb 3.46-3.58, 2 Sn 3.46, 4 Tl 3.50-3.66
Pb (0.2501, 0.5641, 0.7441)  6 Pb 3.46-3.58, 2 Sn 3.46, 4 Tl 3.50-3.66
Pb (0.0000, 0.3145, 0.0001)  6 Tl 3.49-3.58, 6 Pb 3.50-3.61
Tl (0.7500, 0.5647, 0.2520)  2 Sn 3.47, 6 Pb 3.47-3.66, 4 Tl 3.49-3.58
Tl (0.2500, 0.5647, 0.2520)  2 Sn 3.47, 6 Pb 3.47-3.66, 4 Tl 3.49-3.58
Tl (0.0000, 0.8144, 0.9995)  4 Tl 3.49, 6 Pb 3.50-3.58, 2 Sn 3.60-3.61
Tl (0.5000, 0.3144, 0.0005)  4 Tl 3.49, 6 Pb 3.50-3.58, 2 Sn 3.60-3.61
Tl (0.2500, 0.0647, 0.7480)  2 Sn 3.47, 6 Pb 3.47-3.66, 4 Tl 3.49-3.58
Tl (0.7500, 0.0647, 0.7480)  2 Sn 3.47, 6 Pb 3.47-3.66, 4 Tl 3.49-3.58
Sn (0.5000, 0.3142, 0.4997)  6 Pb 3.46-3.58, 6 Tl 3.47-3.61
Sn (0.0000, 0.8142, 0.5003)  6 Pb 3.46-3.58, 6 Tl 3.47-3.61


Energetically preferred structure: model B | next structure: +48 meV per atom


Model A:
Density functional theory data (PBE) for Tl3Sn3Pb after structural relaxation.

abc: 8.2338 8.2338 8.2338
angles: 90.00 90.00 90.00
With the nearest neighbours (Å) after each atom.
Atoms (fractional coordinates):
Sn (0.7500, 0.5000, 0.0000)  4 Tl 2.91
Sn (0.2500, 0.5000, 0.0000)  4 Tl 2.91
Sn (0.0000, 0.7500, 0.5000)  4 Tl 2.91
Sn (0.5000, 0.0000, 0.7500)  4 Tl 2.91
Sn (0.0000, 0.2500, 0.5000)  4 Tl 2.91
Sn (0.5000, 0.0000, 0.2500)  4 Tl 2.91
Pb (0.5000, 0.5000, 0.5000)  12 Tl 4.60, 12 Sn 4.60
Pb (0.0000, 0.0000, 0.0000)  12 Tl 4.60, 12 Sn 4.60
Tl (0.0000, 0.5000, 0.2500)  4 Sn 2.91
Tl (0.0000, 0.5000, 0.7500)  4 Sn 2.91
Tl (0.5000, 0.2500, 0.0000)  4 Sn 2.91
Tl (0.2500, 0.0000, 0.5000)  4 Sn 2.91
Tl (0.5000, 0.7500, 0.0000)  4 Sn 2.91
Tl (0.7500, 0.0000, 0.5000)  4 Sn 2.91


Model B:
Density functional theory data (PBE) for Tl3Sn3Pb after structural relaxation.

abc: 7.8098 7.8098 7.8098
angles: 71.96 71.96 71.96
With the nearest neighbours (Å) after each atom.
Atoms (fractional coordinates):
Tl (0.4632, 0.1753, 0.6092)  5 Sn 3.42-3.58, 2 Pb 3.45-3.59, 5 Tl 3.47-3.53
Tl (0.6092, 0.4632, 0.1753)  5 Sn 3.42-3.58, 2 Pb 3.45-3.59, 5 Tl 3.47-3.53
Tl (0.3908, 0.5368, 0.8247)  5 Sn 3.42-3.58, 2 Pb 3.45-3.59, 5 Tl 3.47-3.53
Tl (0.5368, 0.8247, 0.3908)  5 Sn 3.42-3.58, 2 Pb 3.45-3.59, 5 Tl 3.47-3.53
Tl (0.1753, 0.6092, 0.4632)  5 Sn 3.42-3.58, 2 Pb 3.45-3.59, 5 Tl 3.47-3.53
Tl (0.8247, 0.3908, 0.5368)  5 Sn 3.42-3.58, 2 Pb 3.45-3.59, 5 Tl 3.47-3.53
Sn (0.0985, 0.9678, 0.6926)  5 Sn 3.29-3.62, 2 Pb 3.39-3.55, 5 Tl 3.42-3.58
Sn (0.3074, 0.9015, 0.0322)  5 Sn 3.29-3.62, 2 Pb 3.39-3.55, 5 Tl 3.42-3.58
Sn (0.9678, 0.6926, 0.0985)  5 Sn 3.29-3.62, 2 Pb 3.39-3.55, 5 Tl 3.42-3.58
Sn (0.0322, 0.3074, 0.9015)  5 Sn 3.29-3.62, 2 Pb 3.39-3.55, 5 Tl 3.42-3.58
Sn (0.6926, 0.0985, 0.9678)  5 Sn 3.29-3.62, 2 Pb 3.39-3.55, 5 Tl 3.42-3.58
Sn (0.9015, 0.0322, 0.3074)  5 Sn 3.29-3.62, 2 Pb 3.39-3.55, 5 Tl 3.42-3.58
Pb (0.7565, 0.7565, 0.7565)  6 Sn 3.39-3.55, 6 Tl 3.45-3.59
Pb (0.2435, 0.2435, 0.2435)  6 Sn 3.39-3.55, 6 Tl 3.45-3.59


Energetically preferred structure: model B | next structure: +497 meV per atom


Model A:
Density functional theory data (PBE) for Tl6Sn2Pb after structural relaxation.

abc: 5.4469 5.4469 10.5634
angles: 90.12 90.12 59.91
With the nearest neighbours (Å) after each atom.
Atoms (fractional coordinates):
Tl (0.6676, 0.6676, 0.7225)  7 Tl 3.33-3.60, 1 Sn 3.46
Tl (0.0009, 0.0009, 0.8339)  4 Tl 3.36-3.51, 3 Sn 3.37-3.38, 1 Pb 3.53
Tl (0.3339, 0.3339, 0.6187)  4 Tl 3.33-3.60, 3 Pb 3.38-3.39, 1 Sn 3.50
Tl (0.3324, 0.3324, 0.2775)  7 Tl 3.33-3.60, 1 Sn 3.46
Tl (0.6661, 0.6661, 0.3813)  4 Tl 3.33-3.60, 3 Pb 3.38-3.39, 1 Sn 3.50
Tl (0.9991, 0.9991, 0.1661)  4 Tl 3.36-3.51, 3 Sn 3.37-3.38, 1 Pb 3.53
Sn (0.6663, 0.6663, 0.0497)  3 Sn 3.31-3.32, 5 Tl 3.37-3.50
Sn (0.3337, 0.3337, 0.9503)  3 Sn 3.31-3.32, 5 Tl 3.37-3.50
Pb (0.0000, 0.0000, 0.5000)  8 Tl 3.38-3.53


Model B:
Density functional theory data (PBE) for Tl6Sn2Pb after structural relaxation.

abc: 3.6298 3.6298 24.4558
angles: 90.00 90.00 120.00
With the nearest neighbours (Å) after each atom.
Atoms (fractional coordinates):
Tl (0.3333, 0.6667, 0.7756)  3 Sn 3.30, 9 Tl 3.48-3.63
Tl (0.3333, 0.6667, 0.5668)  7 Tl 3.27-3.63, 3 Sn 3.31
Tl (0.3333, 0.6667, 0.4332)  7 Tl 3.27-3.63, 3 Sn 3.31
Tl (0.6667, 0.3333, 0.8892)  3 Pb 3.43, 9 Tl 3.48-3.63
Tl (0.3333, 0.6667, 0.2244)  3 Sn 3.30, 9 Tl 3.48-3.63
Tl (0.6667, 0.3333, 0.1108)  3 Pb 3.43, 9 Tl 3.48-3.63
Sn (0.6667, 0.3333, 0.6713)  6 Tl 3.30-3.31, 6 Sn 3.63
Sn (0.6667, 0.3333, 0.3287)  6 Tl 3.30-3.31, 6 Sn 3.63
Pb (0.3333, 0.6667, 0.0000)  6 Tl 3.43, 6 Pb 3.63


Energetically preferred structure: model A | next structure: +5 meV per atom